# Li2VF6 (meta-GGA SCAN, single point on PBEsol structure)
# DFT total energy: -7.92 eV per atom
# Energy relative to the elements, uncorrected: -3090 meV per atom
# Calculated volume: 236.1 Å³ per cell
# Excess energy over the best structure of this formula in the dataset: 66.8 meV per atom
data_Li2VF6
_cell_length_a 5.9190
_cell_length_b 6.3161
_cell_length_c 6.3161
_cell_angle_alpha 90.00
_cell_angle_beta 90.00
_cell_angle_gamma 90.00
_symmetry_space_group_name_H-M 'P 1'
_symmetry_Int_Tables_number 1
_symmetry_space_group_name_Hall 'P 1'
loop_
_atom_site_label
_atom_site_type_symbol
_atom_site_fract_x
_atom_site_fract_y
_atom_site_fract_z
Li1 Li 0.7500 0.0000 0.5000
Li2 Li 0.2500 0.0000 0.5000
Li3 Li 0.7500 0.5000 0.0000
Li4 Li 0.2500 0.5000 0.0000
V1 V 0.5000 0.5000 0.5000
V2 V 0.0000 0.0000 0.0000
F1 F 0.0000 0.0021 0.6985
F2 F 0.5000 0.8015 0.4979
F3 F 0.7953 0.5000 0.5000
F4 F 0.2047 0.5000 0.5000
F5 F 0.0000 0.3015 0.0021
F6 F 0.5000 0.5021 0.8015
F7 F 0.0000 0.6985 0.9979
F8 F 0.5000 0.4979 0.1985
F9 F 0.2953 0.0000 0.0000
F10 F 0.7047 0.0000 0.0000
F11 F 0.0000 0.9979 0.3015
F12 F 0.5000 0.1985 0.5021